Record 1
VPd3Cl | GGA-PBE | optimized geometry

Values from the calculation:
Raw total energy in eV/atom: -4.58
Calculated volume in Å³/cell: 102.9
Energy relative to the elements, uncorrected in eV/atom: 0.7244

Lattice parameters (Å, degrees): 4.686 4.686 4.686 90.00 90.00 90.00
Space group Pm-3m (No. 221)
One atom of each set of equivalent atoms:
V 0.000 0.000 0.000 (multiplicity 1)
Pd 0.000 0.000 0.500 (multiplicity 3)
Cl 0.500 0.500 0.500 (multiplicity 1)

***

Record 2
V2PdCl8 | GGA-PBE | optimized geometry

Values from the calculation:
Raw total energy in eV/atom: -4.41
Calculated volume in Å³/cell: 700.1
Energy relative to the elements, uncorrected in eV/atom: -0.9419

Lattice parameters (Å, degrees): 11.964 9.293 6.312 90.00 93.95 90.00
Space group C2/m (No. 12)
One atom of each set of equivalent atoms:
V 0.182 0.000 0.318 (multiplicity 4)
Pd 0.000 0.000 0.000 (multiplicity 2)
Cl 0.114 0.204 0.193 (multiplicity 8)
Cl 0.142 0.500 0.734 (multiplicity 4)
Cl 0.161 0.000 0.656 (multiplicity 4)

***

Record 3
PdWCl3 | GGA-PBE | optimized geometry

Values from the calculation:
Raw total energy in eV/atom: -3.84
Calculated volume in Å³/cell: 115.1
Energy relative to the elements, uncorrected in eV/atom: 0.8958
E above lowest polymorph in meV/atom: 529

Lattice parameters (Å, degrees): 4.865 4.865 4.865 90.00 90.00 90.00
Space group Pm-3m (No. 221)
One atom of each set of equivalent atoms:
Pd 0.000 0.000 0.000 (multiplicity 1)
W 0.500 0.500 0.500 (multiplicity 1)
Cl 0.000 0.000 0.500 (multiplicity 3)